Material: RbUTeSe4
Method: DFT, GGA-PBE
State: optimized geometry

The structure belongs to space group P2_1/m (No. 11); the cell edges are 8.8889, 6.3021 and 9.1655 Å and the angles 90.00°, 107.84° and 90.00°. Symmetry generates all atoms from Rb at (0.1897, 0.2500, 0.0647), U at (0.1460, 0.7500, 0.4586), Te at (0.3292, 0.2500, 0.5313), Se at (0.1147, 0.5031, 0.6991), Se at (0.2213, 0.7500, 0.2080) and Se at (0.4657, 0.7500, 0.6209).

For the density of states at the Fermi level, the calculation gives 6.8 states/eV per cell. Its formation energy from raw total energies is -0.72 eV per atom. As for the magnetization: 0.00 Bohr magnetons per cell. For the uncorrected energy, the calculation gives -4.91 eV/atom.